VASP calculation (PBE) on HoAgHg after structural relaxation.

Cell and atoms, written as POSCAR:
```
HoAgHg
1.0
4.9169 0.0000 0.0000
0.0000 3.5759 0.0000
-1.6201 0.0000 4.8999
Ho Ag Hg
1 1 1
direct
0.0000 0.0000 0.0000
0.5000 0.5000 0.0000
0.0000 0.5000 0.5000
```

Properties
- Calculated formation energy: -5 meV per atom
- Size of the total moment: 0.0 μB/cell
- DOS(E_F): 0.59 states/eV/atom

VASP calculation (PBE) on YNpRuPt after structural relaxation.

Cell and atoms, written as POSCAR:
```
YNpRuPt
1.0
0.0000 3.4402 3.4402
3.4402 0.0000 3.4402
3.4402 3.4402 0.0000
Y Np Ru Pt
1 1 1 1
direct
0.0000 0.0000 0.0000
0.5000 0.5000 0.5000
0.7500 0.7500 0.7500
0.2500 0.2500 0.2500
```

Properties
- Calculated formation energy: -429 meV per atom
- Size of the total moment: 3.4 μB/cell
- DOS(E_F): 1.54 states/eV/atom